VASP calculation (PBE) on CrAu2Se after structural relaxation.

Structure (extended XYZ):
```
4
Lattice="3.867 0.000 0.000 0.000 3.877 0.000 0.000 0.000 4.963" Properties=species:S:1:pos:R:3 pbc="T T T"
Au 0.000 0.000 0.000
Au 1.934 1.939 0.000
Cr 1.934 0.000 2.482
Se 0.000 1.939 2.482
```

## Properties
The calculation puts the uncorrected formation energy at 0.50 eV per formula unit. As for the total magnetization: 3.96 Bohr magnetons per cell.